# 1
VASP calculation (PBE-GGA) on an optimized crystal structure of Y2TlRu.

CIF file:
```
data_Y2TlRu
_cell_length_a 9.282
_cell_length_b 9.282
_cell_length_c 9.282
_cell_angle_alpha 22.35
_cell_angle_beta 22.35
_cell_angle_gamma 22.35
_symmetry_space_group_name_H-M 'P 1'
_symmetry_Int_Tables_number 1
loop_
_symmetry_equiv_pos_as_xyz
'x,y,z'
loop_
_atom_site_label
_atom_site_fract_x
_atom_site_fract_y
_atom_site_fract_z
Y1 0.236 0.236 0.236
Y2 0.764 0.764 0.764
Tl1 0.000 0.000 0.000
Ru1 0.500 0.500 0.500
```

Values from the calculation:
Total magnetization: 0.00 μB per atom
Formation energy: -0.21 eV per atom



# 2
VASP calculation (PBE-GGA) on an optimized crystal structure of YTlRu2.

CIF file:
```
data_YTlRu2
_cell_length_a 5.408
_cell_length_b 5.408
_cell_length_c 5.408
_cell_angle_alpha 135.84
_cell_angle_beta 135.84
_cell_angle_gamma 64.22
_symmetry_space_group_name_H-M 'P 1'
_symmetry_Int_Tables_number 1
loop_
_symmetry_equiv_pos_as_xyz
'x,y,z'
loop_
_atom_site_label
_atom_site_fract_x
_atom_site_fract_y
_atom_site_fract_z
Y1 0.000 0.000 0.000
Tl1 0.750 0.250 0.500
Ru1 0.250 0.750 0.500
Ru2 0.500 0.500 0.000
```

Values from the calculation:
Total magnetization: 0.33 μB per atom
Energy relative to the lowest polymorph listed for this composition: 0.117 eV/atom
Formation energy: 0.18 eV per atom



# 3
VASP calculation (PBE-GGA) on an optimized crystal structure of Y2TlRu.

CIF file:
```
data_Y2TlRu
_cell_length_a 4.992
_cell_length_b 4.992
_cell_length_c 4.992
_cell_angle_alpha 60.00
_cell_angle_beta 60.00
_cell_angle_gamma 60.00
_symmetry_space_group_name_H-M 'P 1'
_symmetry_Int_Tables_number 1
loop_
_symmetry_equiv_pos_as_xyz
'x,y,z'
loop_
_atom_site_label
_atom_site_fract_x
_atom_site_fract_y
_atom_site_fract_z
Y1 0.000 0.000 0.000
Y2 0.250 0.250 0.250
Tl1 0.500 0.500 0.500
Ru1 0.750 0.750 0.750
```

Values from the calculation:
Total magnetization: 0.00 μB per atom
Formation energy: -0.04 eV per atom



# 4
VASP calculation (PBE-GGA) on an optimized crystal structure of Y6TlRu2.

CIF file:
```
data_Y6TlRu2
_cell_length_a 8.531
_cell_length_b 8.531
_cell_length_c 8.531
_cell_angle_alpha 112.88
_cell_angle_beta 111.21
_cell_angle_gamma 104.45
_symmetry_space_group_name_H-M 'P 1'
_symmetry_Int_Tables_number 1
loop_
_symmetry_equiv_pos_as_xyz
'x,y,z'
loop_
_atom_site_label
_atom_site_fract_x
_atom_site_fract_y
_atom_site_fract_z
Y1 0.035 0.240 0.795
Y2 0.183 0.285 0.468
Y3 0.183 0.715 0.898
Y4 0.329 0.016 0.687
Y5 0.329 0.642 0.313
Y6 0.446 0.240 0.205
Y7 0.554 0.760 0.795
Y8 0.671 0.358 0.687
Y9 0.671 0.984 0.313
Y10 0.817 0.285 0.102
Y11 0.817 0.715 0.532
Y12 0.965 0.760 0.205
Tl1 0.000 0.000 0.000
Tl2 0.500 0.500 0.000
Ru1 0.124 0.624 0.500
Ru2 0.331 0.000 0.331
Ru3 0.669 0.000 0.669
Ru4 0.876 0.376 0.500
```

Values from the calculation:
Total magnetization: 0.00 μB per atom
Formation energy: -0.34 eV per atom